# Dy2SiBPt6 GGA-PBE relaxed
data_Dy2SiBPt6
_space_group_name_H-M_alt 'P 1'
_space_group_IT_number 1
_cell_length_a 5.6760
_cell_length_b 8.5605
_cell_length_c 7.2264
_cell_angle_alpha 90.00
_cell_angle_beta 90.00
_cell_angle_gamma 90.00
loop_
_space_group_symop_operation_xyz
'x,y,z'
loop_
_atom_site_label
_atom_site_fract_x
_atom_site_fract_y
_atom_site_fract_z
Dy1 0.2500 0.0325 0.2206
Dy2 0.2500 0.4675 0.2206
Dy3 0.7500 0.5325 0.7794
Dy4 0.7500 0.9675 0.7794
Si1 0.2500 0.7500 0.8063
Si2 0.7500 0.2500 0.1937
B1 0.2500 0.2500 0.7078
B2 0.7500 0.7500 0.2922
Pt1 0.9998 0.2500 0.9267
Pt2 0.0002 0.7500 0.0733
Pt3 0.0078 0.7500 0.5040
Pt4 0.2500 0.0022 0.6556
Pt5 0.2500 0.4978 0.6556
Pt6 0.4922 0.7500 0.5040
Pt7 0.5002 0.2500 0.9267
Pt8 0.4998 0.7500 0.0733
Pt9 0.5078 0.2500 0.4960
Pt10 0.7500 0.5022 0.3444
Pt11 0.7500 0.9978 0.3444
Pt12 0.9922 0.2500 0.4960
# DOS(E_F) ... 0.27 states/eV/atom
# M_tot ... 0.0 μB per cell
# DFT total energy ... -134.32 eV for the cell shown
# Formation energy from raw total energies ... -0.96 eV/atom

---

# Sm2DyB3Pt12 GGA-PBE relaxed
data_Sm2DyB3Pt12
_space_group_name_H-M_alt 'P 1'
_space_group_IT_number 1
_cell_length_a 7.3885
_cell_length_b 7.3885
_cell_length_c 7.3885
_cell_angle_alpha 66.11
_cell_angle_beta 66.11
_cell_angle_gamma 66.11
loop_
_space_group_symop_operation_xyz
'x,y,z'
loop_
_atom_site_label
_atom_site_fract_x
_atom_site_fract_y
_atom_site_fract_z
Sm1 0.0953 0.0953 0.0953
Sm2 0.9047 0.9047 0.9047
Dy1 0.5000 0.5000 0.5000
B1 0.0000 0.5000 0.5000
B2 0.5000 0.0000 0.5000
B3 0.5000 0.5000 0.0000
Pt1 0.0893 0.6412 0.6412
Pt2 0.1838 0.1838 0.5918
Pt3 0.1838 0.5918 0.1838
Pt4 0.3588 0.3588 0.9107
Pt5 0.3588 0.9107 0.3588
Pt6 0.4082 0.8162 0.8162
Pt7 0.5918 0.1838 0.1838
Pt8 0.6412 0.0893 0.6412
Pt9 0.6412 0.6412 0.0893
Pt10 0.8162 0.4082 0.8162
Pt11 0.8162 0.8162 0.4082
Pt12 0.9107 0.3588 0.3588
# DOS(E_F) ... 0.46 states/eV/atom
# M_tot ... 0.0 μB per cell
# DFT total energy ... -114.91 eV for the cell shown
# Formation enthalpy at 0 K ... -464.0 meV per atom

---

# DyPuB GGA-PBE relaxed
data_DyPuB
_space_group_name_H-M_alt 'P 1'
_space_group_IT_number 1
_cell_length_a 6.9884
_cell_length_b 6.9884
_cell_length_c 4.0540
_cell_angle_alpha 90.00
_cell_angle_beta 90.00
_cell_angle_gamma 120.00
loop_
_space_group_symop_operation_xyz
'x,y,z'
loop_
_atom_site_label
_atom_site_fract_x
_atom_site_fract_y
_atom_site_fract_z
Dy1 0.0000 0.4238 0.0000
Dy2 0.4238 0.0000 0.0000
Dy3 0.5762 0.5762 0.0000
Pu1 0.0000 0.7514 0.5000
Pu2 0.2486 0.2486 0.5000
Pu3 0.7514 0.0000 0.5000
B1 0.0000 0.0000 0.0000
B2 0.3333 0.6667 0.5000
B3 0.6667 0.3333 0.5000
# DOS(E_F) ... 1.92 states/eV/atom
# M_tot ... 16.8 μB per cell
# DFT total energy ... -76.29 eV for the cell shown
# Formation enthalpy at 0 K ... 60.3 meV per atom

---

# Dy2PuB6 GGA-PBE relaxed
data_Dy2PuB6
_space_group_name_H-M_alt 'P 1'
_space_group_IT_number 1
_cell_length_a 5.6369
_cell_length_b 5.6369
_cell_length_c 3.9190
_cell_angle_alpha 90.00
_cell_angle_beta 90.00
_cell_angle_gamma 120.00
loop_
_space_group_symop_operation_xyz
'x,y,z'
loop_
_atom_site_label
_atom_site_fract_x
_atom_site_fract_y
_atom_site_fract_z
Dy1 0.3333 0.6667 0.0000
Dy2 0.6667 0.3333 0.0000
Pu1 0.0000 0.0000 0.0000
B1 0.0000 0.3309 0.5000
B2 0.0000 0.6691 0.5000
B3 0.3309 0.0000 0.5000
B4 0.3309 0.3309 0.5000
B5 0.6691 0.0000 0.5000
B6 0.6691 0.6691 0.5000
# DOS(E_F) ... 0.92 states/eV/atom
# M_tot ... 5.1 μB per cell
# DFT total energy ... -67.89 eV for the cell shown
# Formation enthalpy at 0 K ... -476.5 meV per atom

---

# DyPuB12 GGA-PBE relaxed
data_DyPuB12
_space_group_name_H-M_alt 'P 1'
_space_group_IT_number 1
_cell_length_a 4.1014
_cell_length_b 4.1014
_cell_length_c 8.2037
_cell_angle_alpha 90.00
_cell_angle_beta 90.00
_cell_angle_gamma 90.00
loop_
_space_group_symop_operation_xyz
'x,y,z'
loop_
_atom_site_label
_atom_site_fract_x
_atom_site_fract_y
_atom_site_fract_z
Dy1 0.0000 0.0000 0.0000
Pu1 0.0000 0.0000 0.5000
B1 0.1987 0.5000 0.2491
B2 0.1987 0.5000 0.7509
B3 0.5000 0.1987 0.2491
B4 0.5000 0.1987 0.7509
B5 0.5000 0.5000 0.0991
B6 0.5000 0.5000 0.4005
B7 0.5000 0.5000 0.5995
B8 0.5000 0.5000 0.9009
B9 0.5000 0.8013 0.2491
B10 0.5000 0.8013 0.7509
B11 0.8013 0.5000 0.2491
B12 0.8013 0.5000 0.7509
# DOS(E_F) ... 0.51 states/eV/atom
# M_tot ... 5.4 μB per cell
# DFT total energy ... -104.59 eV for the cell shown
# Formation enthalpy at 0 K ... -394.9 meV per atom

---

# Rb2DyB2S6 GGA-PBE relaxed
data_Rb2DyB2S6
_space_group_name_H-M_alt 'P 1'
_space_group_IT_number 1
_cell_length_a 8.5109
_cell_length_b 8.5109
_cell_length_c 8.5109
_cell_angle_alpha 46.55
_cell_angle_beta 46.55
_cell_angle_gamma 46.55
loop_
_space_group_symop_operation_xyz
'x,y,z'
loop_
_atom_site_label
_atom_site_fract_x
_atom_site_fract_y
_atom_site_fract_z
Rb1 0.2133 0.2133 0.2133
Rb2 0.7867 0.7867 0.7867
Dy1 0.0000 0.0000 0.0000
B1 0.4065 0.4065 0.4065
B2 0.5935 0.5935 0.5935
S1 0.2562 0.2562 0.7217
S2 0.2562 0.7217 0.2562
S3 0.2783 0.7438 0.7438
S4 0.7217 0.2562 0.2562
S5 0.7438 0.2783 0.7438
S6 0.7438 0.7438 0.2783
# DOS(E_F) ... 0.46 states/eV/atom
# M_tot ... 0.0 μB per cell
# DFT total energy ... -55.30 eV for the cell shown
# Formation energy from raw total energies ... -0.97 eV/atom

---

# Dy2ReB6 GGA-PBE relaxed
data_Dy2ReB6
_space_group_name_H-M_alt 'P 1'
_space_group_IT_number 1
_cell_length_a 6.7071
_cell_length_b 6.7071
_cell_length_c 6.7071
_cell_angle_alpha 150.29
_cell_angle_beta 132.52
_cell_angle_gamma 57.02
loop_
_space_group_symop_operation_xyz
'x,y,z'
loop_
_atom_site_label
_atom_site_fract_x
_atom_site_fract_y
_atom_site_fract_z
Dy1 0.1625 0.1625 0.0000
Dy2 0.8375 0.8375 0.0000
Re1 0.5000 0.0000 0.5000
B1 0.1654 0.5000 0.6654
B2 0.2315 0.3810 0.8505
B3 0.4695 0.6190 0.8505
B4 0.5305 0.3810 0.1495
B5 0.7685 0.6190 0.1495
B6 0.8346 0.5000 0.3346
# DOS(E_F) ... 0.39 states/eV/atom
# M_tot ... 0.5 μB per cell
# DFT total energy ... -64.72 eV for the cell shown
# Formation enthalpy at 0 K ... -333.4 meV per atom

---

# DyRe2B6 GGA-PBE relaxed
data_DyRe2B6
_space_group_name_H-M_alt 'P 1'
_space_group_IT_number 1
_cell_length_a 5.7104
_cell_length_b 5.7104
_cell_length_c 5.7104
_cell_angle_alpha 148.31
_cell_angle_beta 106.89
_cell_angle_gamma 81.87
loop_
_space_group_symop_operation_xyz
'x,y,z'
loop_
_atom_site_label
_atom_site_fract_x
_atom_site_fract_y
_atom_site_fract_z
Dy1 0.0000 0.0000 0.0000
Re1 0.3409 0.8409 0.5000
Re2 0.6591 0.1591 0.5000
B1 0.0648 0.3105 0.7543
B2 0.3374 0.5000 0.8374
B3 0.4439 0.6895 0.7543
B4 0.5561 0.3105 0.2457
B5 0.6626 0.5000 0.1626
B6 0.9352 0.6895 0.2457
# DOS(E_F) ... 0.38 states/eV/atom
# M_tot ... 0.0 μB per cell
# DFT total energy ... -73.16 eV for the cell shown
# Formation enthalpy at 0 K ... -399.9 meV per atom

---

# DyReB2 GGA-PBE relaxed
data_DyReB2
_space_group_name_H-M_alt 'P 1'
_space_group_IT_number 1
_cell_length_a 5.8281
_cell_length_b 5.8281
_cell_length_c 5.8281
_cell_angle_alpha 33.79
_cell_angle_beta 33.79
_cell_angle_gamma 33.79
loop_
_space_group_symop_operation_xyz
'x,y,z'
loop_
_atom_site_label
_atom_site_fract_x
_atom_site_fract_y
_atom_site_fract_z
Dy1 0.0000 0.0000 0.0000
Re1 0.5000 0.5000 0.5000
B1 0.2304 0.2304 0.2304
B2 0.7696 0.7696 0.7696
# DOS(E_F) ... 0.32 states/eV/atom
# M_tot ... 0.0 μB per cell
# DFT total energy ... -30.83 eV for the cell shown
# Formation enthalpy at 0 K ... -105.9 meV per atom

---

# Dy2Re2B7 GGA-PBE relaxed
data_Dy2Re2B7
_space_group_name_H-M_alt 'P 1'
_space_group_IT_number 1
_cell_length_a 5.3567
_cell_length_b 5.3567
_cell_length_c 4.7948
_cell_angle_alpha 91.13
_cell_angle_beta 91.13
_cell_angle_gamma 77.04
loop_
_space_group_symop_operation_xyz
'x,y,z'
loop_
_atom_site_label
_atom_site_fract_x
_atom_site_fract_y
_atom_site_fract_z
Dy1 0.2074 0.2074 0.3876
Dy2 0.7926 0.7926 0.6124
Re1 0.2985 0.7015 0.0000
Re2 0.7015 0.2985 0.0000
B1 0.0757 0.0757 0.8728
B2 0.0946 0.3837 0.8969
B3 0.3837 0.0946 0.8969
B4 0.5000 0.5000 0.5000
B5 0.6163 0.9054 0.1031
B6 0.9054 0.6163 0.1031
B7 0.9243 0.9243 0.1272
# DOS(E_F) ... 0.41 states/eV/atom
# M_tot ... 0.0 μB per cell
# DFT total energy ... -80.23 eV for the cell shown
# Formation enthalpy at 0 K ... 55.8 meV per atom

---

# DyRe3B3 GGA-PBE relaxed
data_DyRe3B3
_space_group_name_H-M_alt 'P 1'
_space_group_IT_number 1
_cell_length_a 8.1203
_cell_length_b 8.1203
_cell_length_c 3.0841
_cell_angle_alpha 90.00
_cell_angle_beta 90.00
_cell_angle_gamma 120.00
loop_
_space_group_symop_operation_xyz
'x,y,z'
loop_
_atom_site_label
_atom_site_fract_x
_atom_site_fract_y
_atom_site_fract_z
Dy1 0.3333 0.6667 0.2500
Dy2 0.6667 0.3333 0.7500
Re1 0.0679 0.3063 0.7500
Re2 0.2383 0.9321 0.7500
Re3 0.3063 0.2383 0.2500
Re4 0.6937 0.7617 0.7500
Re5 0.7617 0.0679 0.2500
Re6 0.9321 0.6937 0.2500
B1 0.0395 0.5693 0.7500
B2 0.4307 0.4701 0.7500
B3 0.4701 0.0395 0.2500
B4 0.5299 0.9605 0.7500
B5 0.5693 0.5299 0.2500
B6 0.9605 0.4307 0.2500
# DOS(E_F) ... 0.31 states/eV/atom
# M_tot ... 0.0 μB per cell
# DFT total energy ... -127.92 eV for the cell shown
# Formation enthalpy at 0 K ... -282.8 meV per atom

---

# DyRe4B2 GGA-PBE relaxed
data_DyRe4B2
_space_group_name_H-M_alt 'P 1'
_space_group_IT_number 1
_cell_length_a 7.0673
_cell_length_b 7.0673
_cell_length_c 3.9401
_cell_angle_alpha 90.00
_cell_angle_beta 90.00
_cell_angle_gamma 147.24
loop_
_space_group_symop_operation_xyz
'x,y,z'
loop_
_atom_site_label
_atom_site_fract_x
_atom_site_fract_y
_atom_site_fract_z
Dy1 0.0000 0.0000 0.0000
Re1 0.1763 0.8237 0.5000
Re2 0.3116 0.6884 0.0000
Re3 0.6884 0.3116 0.0000
Re4 0.8237 0.1763 0.5000
B1 0.3916 0.6084 0.5000
B2 0.6084 0.3916 0.5000
# DOS(E_F) ... 0.75 states/eV/atom
# M_tot ... 0.0 μB per cell
# DFT total energy ... -68.36 eV for the cell shown
# Formation enthalpy at 0 K ... -87.1 meV per atom